Entry from Alexandria: a relaxed structure of Pr5Hg2IrRh2 (PBE).

Unit cell a=3.7377 b=11.8835 c=11.8835 alpha=90.00 beta=90.00 gamma=90.00
Closest atoms and distances in Å follow each position.
Sites, in units of the cell vectors:
Ir 0.0000 0.0000 0.0000  8 Pr 3.09
Ir 0.0000 0.5000 0.5000  8 Pr 3.09
Hg 0.0000 0.3256 0.8256  1 Rh 3.23, 6 Pr 3.47-3.48
Hg 0.0000 0.8256 0.6744  1 Rh 3.23, 6 Pr 3.47-3.48
Hg 0.0000 0.6744 0.1744  1 Rh 3.23, 6 Pr 3.47-3.48
Hg 0.0000 0.1744 0.3256  1 Rh 3.23, 6 Pr 3.47-3.48
Rh 0.0000 0.6335 0.8665  6 Pr 2.88-2.92
Rh 0.0000 0.8665 0.3665  6 Pr 2.88-2.92
Rh 0.0000 0.1335 0.6335  6 Pr 2.88-2.92
Rh 0.0000 0.3665 0.1335  6 Pr 2.88-2.92
Pr 0.5000 0.3095 0.5802  2 Rh 2.88, 2 Ir 3.09
Pr 0.5000 0.5802 0.6905  2 Rh 2.88, 2 Ir 3.09
Pr 0.5000 0.4198 0.3095  2 Rh 2.88, 2 Ir 3.09
Pr 0.5000 0.5000 0.0000  4 Rh 2.92
Pr 0.5000 0.9198 0.1905  2 Rh 2.88, 2 Ir 3.09
Pr 0.5000 0.1905 0.0802  2 Rh 2.88, 2 Ir 3.09
Pr 0.5000 0.8095 0.9198  2 Rh 2.88, 2 Ir 3.09
Pr 0.5000 0.0802 0.8095  2 Rh 2.88, 2 Ir 3.09
Pr 0.5000 0.6905 0.4198  2 Rh 2.88, 2 Ir 3.09
Pr 0.5000 0.0000 0.5000  4 Rh 2.92

Calculated values
Its formation energy is -0.499 eV/atom.

***

Entry from Alexandria: a relaxed structure of PrScHgIr (PBE).

Unit cell a=5.0289 b=5.0289 c=5.0289 alpha=60.00 beta=60.00 gamma=60.00
Closest atoms and distances in Å follow each position.
Sites, in units of the cell vectors:
Sc 0.7500 0.7500 0.7500  4 Ir 3.08, 4 Hg 3.08
Ir 0.5000 0.5000 0.5000  4 Sc 3.08, 4 Pr 3.08
Hg 0.0000 0.0000 0.0000  4 Pr 3.08, 4 Sc 3.08
Pr 0.2500 0.2500 0.2500  4 Hg 3.08, 4 Ir 3.08

Calculated values
Its formation energy is -0.468 eV/atom.

***

Entry from Alexandria: a relaxed structure of PrSmHgIr (PBE).

Unit cell a=3.7109 b=5.1972 c=5.1343 alpha=90.00 beta=90.00 gamma=90.00
Closest atoms and distances in Å follow each position.
Sites, in units of the cell vectors:
Hg 0.0000 0.5000 0.8066  4 Sm 3.16-3.17, 4 Pr 3.19
Ir 0.0000 0.0000 0.3001  4 Pr 3.15-3.18, 4 Sm 3.19
Sm 0.5000 0.5000 0.3052  4 Hg 3.16-3.17, 4 Ir 3.19
Pr 0.5000 0.0000 0.8034  4 Ir 3.15-3.18, 4 Hg 3.19

Calculated values
Its formation energy is -0.468 eV/atom. The energy above the most stable polymorph in this dataset comes out at 0.032 eV per atom.

***

| no. | ρ (g/cm3) | size of the total moment (μB per formula unit) |
| --- | --- | --- |
| 1 | 9.5 | 0.0 |
| 2 | 10.7 | 0.0 |
| 3 | 11.5 | 0.0 |